Compound: LaPb6BrO7
Source: Alexandria via LeMat-Bulk
Functional: GGA-PBEsol
Structure: optimized geometry

a = 8.140 Å, b = 9.335 Å, c = 9.335 Å
α = 118.37°, β = 90.00°, γ = 90.00°
Fractional positions:
O: 0.750 0.162 0.143
Pb: 0.485 0.234 0.766
Br: 0.000 0.500 0.500
La: 0.000 0.000 0.000
O: 0.750 0.194 0.806
Pb: 0.750 0.605 0.809
Pb: 0.750 0.895 0.626
O: 0.530 0.020 0.285
O: 0.750 0.857 0.838
Pb: 0.250 0.105 0.374
O: 0.030 0.285 0.020
O: 0.250 0.143 0.162
O: 0.970 0.020 0.285
O: 0.250 0.806 0.194
Pb: 0.250 0.809 0.605
Pb: 0.750 0.191 0.395
O: 0.530 0.715 0.980
Pb: 0.750 0.374 0.105
Pb: 0.515 0.766 0.234
O: 0.030 0.980 0.715
Br: 0.500 0.500 0.500
O: 0.470 0.285 0.020
O: 0.470 0.980 0.715
Pb: 0.985 0.766 0.234
La: 0.500 0.000 0.000
O: 0.250 0.838 0.857
Pb: 0.250 0.626 0.895
Pb: 0.015 0.234 0.766
Pb: 0.250 0.395 0.191
O: 0.970 0.715 0.980

E_tot ... -90.3 eV/f.u.
Formation energy from raw total energies ... -1.49 eV/atom